No. 1
This record from Alexandria describes a relaxed structure of V3ZnNi. The functional is PBE-GGA.

```
V3ZnNi
1.0
-4.029 1.295 -0.985
-1.235 -0.722 4.103
1.059 4.085 1.038
Ni Zn V
1 1 3
Direct
0.000 0.000 0.000 Ni
0.500 0.500 0.500 Zn
0.000 0.500 0.000 V
0.000 0.000 0.500 V
0.500 0.000 0.000 V
```

=====

No. 2
This record from Alexandria describes a relaxed structure of VZnNi3. The functional is PBE-GGA.

```
VZnNi3
1.0
-2.843 1.874 2.580
-0.810 -3.768 1.843
3.084 0.737 2.863
Ni Zn V
3 1 1
Direct
0.000 0.500 0.000 Ni
0.000 0.000 0.500 Ni
0.500 0.000 0.000 Ni
0.000 0.000 0.000 Zn
0.500 0.500 0.500 V
```

=====

No. 3
This record from Alexandria describes a relaxed structure of VZnNi2. The functional is PBE-GGA.

```
VZnNi2
1.0
-0.463 -2.292 1.121
2.331 0.082 1.132
-2.854 3.334 5.635
Ni Zn V
2 1 1
Direct
0.000 0.000 0.749 Ni
0.000 0.000 0.251 Ni
0.500 0.500 0.000 Zn
0.500 0.500 0.500 V
```

=====

No. 4
This record from Alexandria describes a relaxed structure of VZnNi3. The functional is PBE-GGA.

```
VZnNi3
1.0
4.465 0.000 0.000
0.000 5.748 0.269
0.000 -2.639 5.113
V Zn Ni
2 2 6
Direct
0.250 0.360 0.640 V
0.750 0.640 0.360 V
0.000 0.000 0.000 Zn
0.500 0.000 0.000 Zn
0.250 0.787 0.213 Ni
0.750 0.213 0.787 Ni
0.250 0.771 0.607 Ni
0.750 0.229 0.393 Ni
0.250 0.393 0.229 Ni
0.750 0.607 0.771 Ni
```

=====

no.,energy of formation (eV/atom)
1,0.864
2,0.957
3,-0.227
4,0.302